1.
A plane-wave DFT calculation with PBE was carried out for a geometry-optimized PmGePd6 structure.

Cell lengths 4.1337, 4.1337, 7.8571 Å; angles 90.00, 90.00, 90.00 degrees
Last column: nearest neighbours and their distance in Å.
Fractional coordinates of all 8 atoms:
Pd1 0.5000 0.5000 0.0000  4 Pm 2.92, 8 Pd 2.98
Pm1 0.0000 0.0000 0.0000  12 Pd 2.92-2.98
Pd2 0.5000 0.0000 0.7270  2 Ge 2.73, 8 Pd 2.73-2.98, 2 Pm 2.98
Pd3 0.5000 0.5000 0.5000  8 Pd 2.73, 4 Ge 2.92
Pd4 0.5000 0.0000 0.2730  8 Pd 2.73-2.98, 2 Ge 2.73, 2 Pm 2.98
Pd5 0.0000 0.5000 0.2730  2 Ge 2.73, 8 Pd 2.73-2.98, 2 Pm 2.98
Ge1 0.0000 0.0000 0.5000  12 Pd 2.73-2.92
Pd6 0.0000 0.5000 0.7270  2 Ge 2.73, 8 Pd 2.73-2.98, 2 Pm 2.98

## Properties
* M_tot: 0.0 μB/f.u.
* energy relative to the elements: -0.57 eV/atom
* energy: -45.1 eV for the cell shown

2.
A plane-wave DFT calculation with PBE was carried out for a geometry-optimized In2SiTcGe structure.

Cell lengths 5.2251, 4.7108, 5.2251 Å; angles 90.00, 90.00, 90.00 degrees
Last column: nearest neighbours and their distance in Å.
Fractional coordinates of all 5 atoms:
Ge1 0.0000 0.5000 0.0000  2 Tc 2.36
In1 0.0000 0.0000 0.5000  2 Tc 2.61
Si1 0.5000 0.5000 0.5000  8 In 3.52, 4 Ge 3.69
Tc1 0.0000 0.0000 0.0000  2 Ge 2.36, 4 In 2.61
In2 0.5000 0.0000 0.0000  2 Tc 2.61

## Properties
* M_tot: 0.9 μB/f.u.
* energy: -22.5 eV for the cell shown
* formation energy (no corrections): 0.681 eV/atom

3.
A plane-wave DFT calculation with PBE was carried out for a geometry-optimized Ca2PuUBi4 structure.

Cell lengths 4.5895, 7.9479, 7.8625 Å; angles 109.75, 90.00, 90.00 degrees
Last column: nearest neighbours and their distance in Å.
Fractional coordinates of all 8 atoms:
Bi1 0.0000 0.7505 0.2366  1 U 3.14, 2 Pu 3.19, 3 Ca 3.27-3.32
Ca1 0.5000 0.0000 0.5000  6 Bi 3.26-3.27
Bi2 0.5000 0.7598 0.7645  2 U 3.15, 1 Pu 3.21, 3 Ca 3.26-3.31
Bi3 0.5000 0.2402 0.2355  2 U 3.15, 1 Pu 3.21, 3 Ca 3.26-3.31
Bi4 0.0000 0.2495 0.7634  1 U 3.14, 2 Pu 3.19, 3 Ca 3.27-3.32
Pu1 0.5000 0.5000 0.0000  6 Bi 3.19-3.21
U1 0.0000 0.0000 0.0000  6 Bi 3.14-3.15
Ca2 0.0000 0.5000 0.5000  6 Bi 3.31-3.32

## Properties
* M_tot: 6.3 μB/f.u.
* energy relative to the elements: -0.41 eV/atom
* energy: -48.4 eV for the cell shown

4.
A plane-wave DFT calculation with PBE was carried out for a geometry-optimized HfMgBe3 structure.

Cell lengths 4.1784, 4.1784, 4.1784 Å; angles 90.00, 90.00, 90.00 degrees
Last column: nearest neighbours and their distance in Å.
Fractional coordinates of all 5 atoms:
Be1 0.5000 0.0000 0.0000  2 Mg 2.09
Be2 0.0000 0.0000 0.5000  2 Mg 2.09
Be3 0.0000 0.5000 0.0000  2 Mg 2.09
Hf1 0.5000 0.5000 0.5000  12 Be 2.95
Mg1 0.0000 0.0000 0.0000  6 Be 2.09

## Properties
* M_tot: 0.0 μB/f.u.
* energy relative to the elements: 0.99 eV/atom
* energy: -17.8 eV for the cell shown